TlCr2F6 | Alexandria | PBE with a Hubbard U | relaxed; symmetry = P-31m (162); total magnetization = 7.000 Bohr magnetons per cell; E = -5.611 eV per atom
1.0
5.992 0.000 0.000
0.000 4.788 -2.764
0.000 0.000 5.529
Tl Cr F
1 2 6
Direct
0.000 0.000 0.000
0.500 0.667 0.333
0.500 0.333 0.667
0.679 0.623 0.623
0.321 0.623 0.000
0.321 0.000 0.623
0.679 0.377 0.000
0.321 0.377 0.377
0.679 0.000 0.377